NaLi2NiSn (PBE, relaxed); N(E_F) = 2.00 states/eV per cell; VASP energy = -3.0712 eV/atom
1.0
-0.877 2.295 4.137
-3.899 -2.733 0.689
2.668 -3.214 2.349
Ni Li Sn Na
1 2 1 1
direct
0.000 0.000 0.000 Ni
0.000 0.500 0.000 Li
0.500 0.000 0.000 Li
0.000 0.000 0.500 Sn
0.500 0.500 0.500 Na